No. 1
A relaxed SrBRh2Au crystal, computed with PBE.

The structure in CIF format:
```
data_SrBRh2Au
_symmetry_space_group_name_H-M 'P 1'
_symmetry_Int_Tables_number 1
_cell_length_a 4.338
_cell_length_b 4.338
_cell_length_c 4.416
_cell_angle_alpha 90.00
_cell_angle_beta 90.00
_cell_angle_gamma 90.00
loop_
_symmetry_equiv_pos_as_xyz
'x,y,z'
loop_
_atom_site_label
_atom_site_fract_x
_atom_site_fract_y
_atom_site_fract_z
_atom_site_occupancy
Rh1 0.000 0.500 0.000 1
Rh2 0.500 0.000 0.000 1
Sr1 0.500 0.500 0.500 1
B1 0.000 0.000 0.000 1
Au1 0.000 0.000 0.500 1
```

No. 2
A relaxed Tb3B2Rh9Au crystal, computed with PBE.

The structure in CIF format:
```
data_Tb3B2Rh9Au
_symmetry_space_group_name_H-M 'P 1'
_symmetry_Int_Tables_number 1
_cell_length_a 5.803
_cell_length_b 5.803
_cell_length_c 8.880
_cell_angle_alpha 90.00
_cell_angle_beta 90.00
_cell_angle_gamma 120.00
loop_
_symmetry_equiv_pos_as_xyz
'x,y,z'
loop_
_atom_site_label
_atom_site_fract_x
_atom_site_fract_y
_atom_site_fract_z
_atom_site_occupancy
Rh1 0.838 0.677 0.735 1
Rh2 0.500 0.000 0.000 1
Rh3 0.838 0.162 0.735 1
Rh4 0.162 0.838 0.265 1
Rh5 0.323 0.162 0.735 1
Rh6 0.500 0.500 0.000 1
Rh7 0.677 0.838 0.265 1
Rh8 0.162 0.323 0.265 1
Rh9 0.000 0.500 0.000 1
Tb1 0.333 0.667 0.667 1
Tb2 0.667 0.333 0.333 1
Tb3 0.000 0.000 0.000 1
B1 0.333 0.667 0.145 1
B2 0.667 0.333 0.855 1
Au1 0.000 0.000 0.500 1
```

Record order is preserved below.
Calculated formation energy: -0.306; -0.484 eV per atom